An optimized crystal structure of Cu2Si2S. Source: Alexandria, functional PBE.

a b c (Å): 6.580 6.580 3.432
angles (deg): 90.00 90.00 90.00
Space group P4/mbm (No. 127)
Symmetry-distinct sites (fractional):
Cu: 0.138 0.362 0.000 x4
Si: 0.149 0.649 0.500 x4
S: 0.000 0.000 0.000 x2

Values from the calculation:
Theoretical density: 4.81 g/cm³
Size of the total moment: 0.00 μB per cell
Uncorrected formation energy: 35.0 kJ per mole of atoms